No. 1
A plane-wave DFT calculation with PBE was carried out for LaHfCl2 after structural relaxation.

Lattice parameters (Å, degrees): 3.4730 3.4730 28.3911 90.00 90.00 120.00
Element x y z (fractional)
La  0.0000  0.0000  0.0000
La  0.3333  0.6667  0.6667
La  0.6667  0.3333  0.3333
Hf  0.0000  0.0000  0.5000
Hf  0.3333  0.6667  0.1667
Hf  0.6667  0.3333  0.8333
Cl  0.0000  0.0000  0.4102
Cl  0.0000  0.0000  0.5898
Cl  0.3333  0.6667  0.0769
Cl  0.3333  0.6667  0.2565
Cl  0.6667  0.3333  0.7435
Cl  0.6667  0.3333  0.9231

Computed properties:
The space group is No. 166. As for the total energy: -5.64 eV per atom. Its uncorrected formation energy is -0.997 eV per atom. The value obtained for the mass density is 6.52 g cm⁻³. The distance to the lowest polymorph of the same formula comes out at 0 meV/atom.

No. 2
A plane-wave DFT calculation with PBE was carried out for La3HfCl after structural relaxation.

Lattice parameters (Å, degrees): 5.4524 5.4524 5.4524 90.00 90.00 90.00
Element x y z (fractional)
La  0.0000  0.0000  0.5000
La  0.0000  0.5000  0.0000
La  0.5000  0.0000  0.0000
Hf  0.5000  0.5000  0.5000
Cl  0.0000  0.0000  0.0000

Computed properties:
The space group is No. 221. As for the total energy: -5.58 eV per atom. Its uncorrected formation energy is -0.259 eV per atom. The value obtained for the mass density is 6.46 g cm⁻³. The distance to the lowest polymorph of the same formula comes out at 0 meV/atom.

No. 3
A plane-wave DFT calculation with PBE was carried out for La3HfCl after structural relaxation.

Lattice parameters (Å, degrees): 5.8604 5.8604 5.8604 90.00 90.00 90.00
Element x y z (fractional)
La  0.0000  0.0000  0.5000
La  0.0000  0.5000  0.0000
La  0.5000  0.0000  0.0000
Hf  0.0000  0.0000  0.0000
Cl  0.5000  0.5000  0.5000

Computed properties:
The space group is No. 221. As for the total energy: -5.05 eV per atom. Its uncorrected formation energy is 0.270 eV per atom. The value obtained for the mass density is 5.20 g cm⁻³. The distance to the lowest polymorph of the same formula comes out at 530 meV/atom.

No. 4
A plane-wave DFT calculation with PBE was carried out for LaHfCl2 after structural relaxation.

Lattice parameters (Å, degrees): 7.1181 7.1181 7.1181 90.00 90.00 90.00
Element x y z (fractional)
La  0.0000  0.0000  0.0000
La  0.0000  0.5000  0.5000
La  0.5000  0.0000  0.5000
La  0.5000  0.5000  0.0000
Hf  0.0000  0.0000  0.5000
Hf  0.0000  0.5000  0.0000
Hf  0.5000  0.0000  0.0000
Hf  0.5000  0.5000  0.5000
Cl  0.2500  0.2500  0.2500
Cl  0.2500  0.2500  0.7500
Cl  0.2500  0.7500  0.2500
Cl  0.2500  0.7500  0.7500
Cl  0.7500  0.2500  0.2500
Cl  0.7500  0.2500  0.7500
Cl  0.7500  0.7500  0.2500
Cl  0.7500  0.7500  0.7500

Computed properties:
The space group is No. 225. As for the total energy: -5.20 eV per atom. Its uncorrected formation energy is -0.552 eV per atom. The value obtained for the mass density is 7.15 g cm⁻³. The distance to the lowest polymorph of the same formula comes out at 445 meV/atom.

No. 5
A plane-wave DFT calculation with PBE was carried out for LaHf2Cl after structural relaxation.

Lattice parameters (Å, degrees): 7.2788 7.2788 7.2788 90.00 90.00 90.00
Element x y z (fractional)
La  0.0000  0.0000  0.0000
La  0.0000  0.5000  0.5000
La  0.5000  0.0000  0.5000
La  0.5000  0.5000  0.0000
Hf  0.2500  0.2500  0.2500
Hf  0.2500  0.2500  0.7500
Hf  0.2500  0.7500  0.2500
Hf  0.2500  0.7500  0.7500
Hf  0.7500  0.2500  0.2500
Hf  0.7500  0.2500  0.7500
Hf  0.7500  0.7500  0.2500
Hf  0.7500  0.7500  0.7500
Cl  0.0000  0.0000  0.5000
Cl  0.0000  0.5000  0.0000
Cl  0.5000  0.0000  0.0000
Cl  0.5000  0.5000  0.5000

Computed properties:
The space group is No. 225. As for the total energy: -6.07 eV per atom. Its uncorrected formation energy is 0.605 eV per atom. The value obtained for the mass density is 9.15 g cm⁻³. The distance to the lowest polymorph of the same formula comes out at 624 meV/atom.

No. 6
A plane-wave DFT calculation with PBE was carried out for LaHfNiCl2 after structural relaxation.

Lattice parameters (Å, degrees): 5.3637 5.3637 5.2260 90.00 90.00 90.00
Element x y z (fractional)
La  0.0000  0.0000  0.0000
Hf  0.5000  0.5000  0.5000
Ni  0.0000  0.0000  0.5000
Cl  0.0000  0.5000  0.0000
Cl  0.5000  0.0000  0.0000

Computed properties:
The space group is No. 123. As for the total energy: -4.76 eV per atom. Its uncorrected formation energy is 0.110 eV per atom. The value obtained for the mass density is 4.94 g cm⁻³.

No. 7
A plane-wave DFT calculation with PBE was carried out for LaHfP2Cl after structural relaxation.

Lattice parameters (Å, degrees): 5.4775 5.4775 5.1467 90.00 90.00 90.00
Element x y z (fractional)
La  0.0000  0.0000  0.0000
Hf  0.5000  0.5000  0.5000
P  0.0000  0.5000  0.0000
P  0.5000  0.0000  0.0000
Cl  0.0000  0.0000  0.5000

Computed properties:
The space group is No. 123. As for the total energy: -5.11 eV per atom. Its uncorrected formation energy is 0.404 eV per atom. The value obtained for the mass density is 4.46 g cm⁻³. The distance to the lowest polymorph of the same formula comes out at 1426 meV/atom.

No. 8
A plane-wave DFT calculation with PBE was carried out for LaHfP2Cl after structural relaxation.

Lattice parameters (Å, degrees): 5.0453 5.0453 4.7851 90.00 90.00 90.00
Element x y z (fractional)
La  0.0000  0.0000  0.0000
Hf  0.5000  0.5000  0.5000
P  0.0000  0.5000  0.5000
P  0.5000  0.0000  0.5000
Cl  0.5000  0.5000  0.0000

Computed properties:
The space group is No. 123. As for the total energy: -6.53 eV per atom. Its uncorrected formation energy is -1.022 eV per atom. The value obtained for the mass density is 5.65 g cm⁻³. The distance to the lowest polymorph of the same formula comes out at 0 meV/atom.